{"formula": "Gd3Tl2Sn3Pb2", "functional": "GGA-PBE", "state": "relaxed", "vol_a3_per_atom": 27.566, "polymorph_energy_mev_per_atom": 51, "total_magnetization_mub_per_cell": 0.00, "lattice": [[2.334, -12.337, 0.000], [2.334, 12.337, 0.000], [0.000, 0.000, 4.786]], "species": ["Gd", "Gd", "Gd", "Tl", "Tl", "Sn", "Sn", "Sn", "Pb", "Pb"], "frac_coords": [[0.000, 0.000, 0.000], [0.189, 0.811, 0.000], [0.811, 0.189, 0.000], [0.293, 0.707, 0.500], [0.707, 0.293, 0.500], [0.403, 0.597, 0.000], [0.500, 0.500, 0.500], [0.597, 0.403, 0.000], [0.099, 0.901, 0.500], [0.901, 0.099, 0.500]]}